[1]
TbScTc | PBE | relaxed

- calculated formation energy (kJ per mole of atoms) = 73.66
- total moment (μB per cell) = 0.00

abc: 6.5242 6.5242 6.5242
angles: 90.00 90.00 90.00
Space group F-43m (No. 216)
Symmetry-distinct sites (fractional):
1 Tb 0.0000 0.0000 0.0000 [4 per cell]
2 Sc 0.2500 0.2500 0.2500 [4 per cell]
3 Tc 0.0000 0.0000 0.5000 [4 per cell]


[2]
FeSiNiPt | PBE | relaxed

- relative energy among the computed polymorphs (eV/atom) = 0.048
- total moment (μB per cell) = 12.32

abc: 5.8966 5.8966 5.8966
angles: 90.00 90.00 90.00
Space group F-43m (No. 216)
Symmetry-distinct sites (fractional):
1 Fe 0.0000 0.0000 0.0000 [4 per cell]
2 Si 0.0000 0.0000 0.5000 [4 per cell]
3 Ni 0.2500 0.2500 0.7500 [4 per cell]
4 Pt 0.2500 0.2500 0.2500 [4 per cell]


[3]
Y4CdSiC2 | PBE | relaxed

- DFT total energy (eV per atom) = -6.6607
- total moment (μB per cell) = 0.97

abc: 3.6129 3.6129 15.3801
angles: 90.00 90.00 120.00
Space group P-6m2 (No. 187)
Symmetry-distinct sites (fractional):
1 Y 0.0000 0.0000 0.1446 [2 per cell]
2 Y 0.3333 0.6667 0.3211 [2 per cell]
3 Cd 0.0000 0.0000 0.5000 [1 per cell]
4 Si 0.3333 0.6667 0.0000 [1 per cell]
5 C 0.6667 0.3333 0.2387 [2 per cell]


[4]
Na2As2Pd | PBE | relaxed

- relative energy among the computed polymorphs (eV/atom) = 0.018

abc: 5.9262 13.4401 5.7021
angles: 90.00 90.00 90.00
Space group Cmcm (No. 63)
Symmetry-distinct sites (fractional):
1 Na 0.0000 0.0741 0.2500 [4 per cell]
2 Na 0.0000 0.3025 0.7500 [4 per cell]
3 As 0.2075 0.3742 0.2500 [8 per cell]
4 Pd 0.0000 0.5000 0.0000 [4 per cell]


[5]
Li4Cd2GePb | PBE | relaxed

- DFT total energy (eV per atom) = -2.4766

abc: 4.7213 4.7213 6.7207
angles: 90.00 90.00 90.00
Space group P-4m2 (No. 115)
Symmetry-distinct sites (fractional):
1 Li 0.0000 0.0000 0.0000 [1 per cell]
2 Li 0.0000 0.5000 0.7367 [2 per cell]
3 Li 0.5000 0.5000 0.5000 [1 per cell]
4 Cd 0.0000 0.5000 0.2699 [2 per cell]
5 Ge 0.0000 0.0000 0.5000 [1 per cell]
6 Pb 0.5000 0.5000 0.0000 [1 per cell]


[6]
LiAlPt | PBE | relaxed

- relative energy among the computed polymorphs (eV/atom) = 0.114
- total moment (μB per cell) = 0.00

abc: 6.4977 6.4977 3.9159
angles: 90.00 90.00 120.00
Space group P-62m (No. 189)
Symmetry-distinct sites (fractional):
1 Li 0.0000 0.5775 0.0000 [3 per cell]
2 Al 0.0000 0.2543 0.5000 [3 per cell]
3 Pt 0.0000 0.0000 0.0000 [1 per cell]
4 Pt 0.3333 0.6667 0.5000 [2 per cell]


[7]
Ba2CdSiS6 | PBE | relaxed

- DFT total energy (eV per atom) = -4.3932

abc: 9.8265 9.8265 9.8265
angles: 90.00 90.00 90.00
Space group Fm-3m (No. 225)
Symmetry-distinct sites (fractional):
1 Ba 0.2500 0.2500 0.2500 [8 per cell]
2 Cd 0.0000 0.0000 0.0000 [4 per cell]
3 Si 0.0000 0.0000 0.5000 [4 per cell]
4 S 0.0000 0.0000 0.2675 [24 per cell]


[8]
LuCoPt | PBE | relaxed

- calculated formation energy (kJ per mole of atoms) = 5.92
- total moment (μB per cell) = 2.87

abc: 6.2029 6.2029 6.2029
angles: 90.00 90.00 90.00
Space group F-43m (No. 216)
Symmetry-distinct sites (fractional):
1 Lu 0.0000 0.0000 0.0000 [4 per cell]
2 Co 0.2500 0.2500 0.7500 [4 per cell]
3 Pt 0.2500 0.2500 0.2500 [4 per cell]


| no. | calculated density (g/cm3) |
| --- | --- |
| 1 | 7.2 |
| 2 | 10.9 |
| 3 | 5.0 |
| 4 | 4.4 |
| 5 | 5.9 |
| 6 | 8.0 |
| 7 | 4.3 |
| 8 | 11.9 |